No. 1
# SnAsPtO, optimized geometry, DFT PBE
data_SnAsPtO
_chemical_formula_sum 'Sn2 As2 Pt2 O2'
_cell_length_a 3.484
_cell_length_b 7.015
_cell_length_c 6.831
_cell_angle_alpha 90.00
_cell_angle_beta 90.00
_cell_angle_gamma 90.00
_symmetry_space_group_name_H-M 'P m c 21'
_symmetry_Int_Tables_number 26
loop_
_symmetry_equiv_pos_as_xyz
'x,y,z'
'-x,-y,z+1/2'
'-x,y,z'
'x,-y,z+1/2'
loop_
_atom_site_label
_atom_site_fract_x
_atom_site_fract_y
_atom_site_fract_z
Sn1 0.000 0.187 0.000
As1 0.000 0.192 0.414
Pt1 0.500 0.277 0.631
O1 0.500 0.350 0.949
# E_tot   -5.227 eV/atom
# M_tot   0.00 μB per formula unit

No. 2
# SrAsPtO, optimized geometry, DFT PBE
data_SrAsPtO
_chemical_formula_sum 'Sr2 As2 Pt2 O2'
_cell_length_a 6.015
_cell_length_b 6.015
_cell_length_c 4.691
_cell_angle_alpha 90.00
_cell_angle_beta 90.00
_cell_angle_gamma 90.00
_symmetry_space_group_name_H-M 'P 4/n m m'
_symmetry_Int_Tables_number 129
loop_
_symmetry_equiv_pos_as_xyz
'x,y,z'
'-x,-y,-z'
'-y+1/2,x,z'
'y+1/2,-x,-z'
'-x+1/2,-y+1/2,z'
'x+1/2,y+1/2,-z'
'y,-x+1/2,z'
'-y,x+1/2,-z'
'x+1/2,-y,-z'
'-x+1/2,y,z'
'-y,-x,-z'
'y,x,z'
'-x,y+1/2,-z'
'x,-y+1/2,z'
'y+1/2,x+1/2,-z'
'-y+1/2,-x+1/2,z'
loop_
_atom_site_label
_atom_site_fract_x
_atom_site_fract_y
_atom_site_fract_z
Sr1 0.250 0.750 0.000
As1 0.250 0.250 0.493
Pt1 0.250 0.250 0.993
O1 0.250 0.750 0.500
# E_tot   -5.045 eV/atom
# M_tot   0.00 μB per formula unit

No. 3
# SrAsPtO, optimized geometry, DFT PBE
data_SrAsPtO
_chemical_formula_sum 'Sr2 As2 Pt2 O2'
_cell_length_a 4.631
_cell_length_b 4.308
_cell_length_c 7.470
_cell_angle_alpha 90.00
_cell_angle_beta 90.00
_cell_angle_gamma 90.00
_symmetry_space_group_name_H-M 'P m c 21'
_symmetry_Int_Tables_number 26
loop_
_symmetry_equiv_pos_as_xyz
'x,y,z'
'-x,-y,z+1/2'
'-x,y,z'
'x,-y,z+1/2'
loop_
_atom_site_label
_atom_site_fract_x
_atom_site_fract_y
_atom_site_fract_z
Sr1 0.000 0.250 0.000
As1 0.500 0.249 0.666
Pt1 0.500 0.251 0.333
O1 0.000 0.250 0.333
# E_tot   -5.423 eV/atom
# M_tot   0.01 μB per formula unit

No. 4
# SrAsPtO, optimized geometry, DFT PBE
data_SrAsPtO
_chemical_formula_sum 'Sr2 As2 Pt2 O2'
_cell_length_a 5.520
_cell_length_b 5.520
_cell_length_c 4.796
_cell_angle_alpha 90.00
_cell_angle_beta 90.00
_cell_angle_gamma 90.00
_symmetry_space_group_name_H-M 'P 4/n m m'
_symmetry_Int_Tables_number 129
loop_
_symmetry_equiv_pos_as_xyz
'x,y,z'
'-x,-y,-z'
'-y+1/2,x,z'
'y+1/2,-x,-z'
'-x+1/2,-y+1/2,z'
'x+1/2,y+1/2,-z'
'y,-x+1/2,z'
'-y,x+1/2,-z'
'x+1/2,-y,-z'
'-x+1/2,y,z'
'-y,-x,-z'
'y,x,z'
'-x,y+1/2,-z'
'x,-y+1/2,z'
'y+1/2,x+1/2,-z'
'-y+1/2,-x+1/2,z'
loop_
_atom_site_label
_atom_site_fract_x
_atom_site_fract_y
_atom_site_fract_z
Sr1 0.250 0.750 0.000
As1 0.250 0.250 0.498
Pt1 0.250 0.250 0.997
O1 0.250 0.750 0.500
# E_tot   -4.906 eV/atom
# M_tot   0.00 μB per formula unit

No. 5
# SrAsPtO, optimized geometry, DFT PBE
data_SrAsPtO
_chemical_formula_sum 'Sr2 As2 Pt2 O2'
_cell_length_a 4.397
_cell_length_b 4.397
_cell_length_c 8.164
_cell_angle_alpha 90.00
_cell_angle_beta 90.00
_cell_angle_gamma 90.00
_symmetry_space_group_name_H-M 'P 4/n m m'
_symmetry_Int_Tables_number 129
loop_
_symmetry_equiv_pos_as_xyz
'x,y,z'
'-x,-y,-z'
'-y+1/2,x,z'
'y+1/2,-x,-z'
'-x+1/2,-y+1/2,z'
'x+1/2,y+1/2,-z'
'y,-x+1/2,z'
'-y,x+1/2,-z'
'x+1/2,-y,-z'
'-x+1/2,y,z'
'-y,-x,-z'
'y,x,z'
'-x,y+1/2,-z'
'x,-y+1/2,z'
'y+1/2,x+1/2,-z'
'-y+1/2,-x+1/2,z'
loop_
_atom_site_label
_atom_site_fract_x
_atom_site_fract_y
_atom_site_fract_z
Sr1 0.250 0.250 0.118
As1 0.250 0.250 0.652
Pt1 0.250 0.750 0.500
O1 0.250 0.750 0.000
# E_tot   -5.642 eV/atom
# M_tot   0.08 μB per formula unit

No. 6
# SrAsPtO, optimized geometry, DFT PBE
data_SrAsPtO
_chemical_formula_sum 'Sr2 As2 Pt2 O2'
_cell_length_a 4.400
_cell_length_b 4.400
_cell_length_c 8.164
_cell_angle_alpha 90.00
_cell_angle_beta 90.00
_cell_angle_gamma 90.00
_symmetry_space_group_name_H-M 'P 4/n m m'
_symmetry_Int_Tables_number 129
loop_
_symmetry_equiv_pos_as_xyz
'x,y,z'
'-x,-y,-z'
'-y+1/2,x,z'
'y+1/2,-x,-z'
'-x+1/2,-y+1/2,z'
'x+1/2,y+1/2,-z'
'y,-x+1/2,z'
'-y,x+1/2,-z'
'x+1/2,-y,-z'
'-x+1/2,y,z'
'-y,-x,-z'
'y,x,z'
'-x,y+1/2,-z'
'x,-y+1/2,z'
'y+1/2,x+1/2,-z'
'-y+1/2,-x+1/2,z'
loop_
_atom_site_label
_atom_site_fract_x
_atom_site_fract_y
_atom_site_fract_z
Sr1 0.250 0.250 0.118
As1 0.250 0.250 0.651
Pt1 0.250 0.750 0.500
O1 0.250 0.750 0.000
# E_tot   -5.642 eV/atom
# M_tot   0.01 μB per formula unit